1.
Here is a geometry-optimized CrAu2Se structure from the Alexandria database. Energies are from GGA-PBE.

Properties
* magnetic moment: 0.905 μB/atom
* SG: P4/mmm, No. 123
* ρ: 11.6 g/cm³
* E_form (uncorrected): 0.262 eV/atom

a = 2.927 Å, b = 2.925 Å, c = 8.783 Å
α = 90.00°, β = 90.00°, γ = 90.00°
Atoms (fractional coordinates):
Au  0.000  0.000  0.039
Au  0.000  0.000  0.461
Cr  0.500  0.500  0.250
Se  0.500  0.500  0.750



2.
Here is a geometry-optimized TbTl2As2O6 structure from the Alexandria database. Energies are from GGA-PBE.

Properties
* magnetic moment: 0.000 μB/atom
* SG: C2/m, No. 12
* ρ: 6.7 g/cm³
* E_form (uncorrected): -1.599 eV/atom

a = 6.057 Å, b = 5.841 Å, c = 7.481 Å
α = 112.50°, β = 90.00°, γ = 121.23°
Atoms (fractional coordinates):
Tb  0.500  0.000  0.500
Tl  0.714  0.428  0.193
Tl  0.286  0.572  0.807
As  0.937  0.874  0.772
As  0.063  0.126  0.228
O  0.751  0.501  0.582
O  0.197  0.940  0.273
O  0.257  0.060  0.727
O  0.803  0.060  0.727
O  0.743  0.940  0.273
O  0.249  0.499  0.418